1.
Below is a geometry-optimized BaNpV2N6 structure, with properties calculated at the PBE level.

Unit cell a=6.2848 b=7.4815 c=7.4815 alpha=91.57 beta=76.88 gamma=76.88
Positions (direct):
Np 0.7500 0.6985 0.3015
N 0.4195 0.7707 0.3826
N 0.1449 0.6358 0.7194
N 0.0805 0.6174 0.2293
N 0.8551 0.3642 0.2806
N 0.7827 0.9885 0.2739
V 0.6587 0.2148 0.3682
N 0.2173 0.0115 0.7261
V 0.1587 0.3682 0.2148
N 0.2827 0.2739 0.9885
Np 0.2500 0.3015 0.6985
V 0.3413 0.7852 0.6318
N 0.6449 0.7194 0.6358
N 0.7173 0.7261 0.0115
Ba 0.2500 0.8971 0.1029
Ba 0.7500 0.1029 0.8971
V 0.8413 0.6318 0.7852
N 0.3551 0.2806 0.3642
N 0.5805 0.2293 0.6174
N 0.9195 0.3826 0.7707

2.
Below is a geometry-optimized BaNpVN4 structure, with properties calculated at the PBE level.

Unit cell a=5.7916 b=5.7600 c=7.4645 alpha=90.00 beta=108.75 gamma=90.00
Positions (direct):
Np 0.7892 0.7500 0.4553
N 0.9679 0.0092 0.6817
N 0.0321 0.5092 0.3183
N 0.0321 0.9908 0.3183
V 0.7571 0.2500 0.6659
N 0.4747 0.7500 0.5562
N 0.5253 0.2500 0.4438
V 0.2429 0.7500 0.3341
N 0.9679 0.4908 0.6817
N 0.5455 0.2500 0.8026
Ba 0.7061 0.7500 0.9269
Np 0.2108 0.2500 0.5447
Ba 0.2939 0.2500 0.0731
N 0.4545 0.7500 0.1974

3.
Below is a geometry-optimized Ba2NpWN5 structure, with properties calculated at the PBE level.

Unit cell a=3.6340 b=7.8376 c=11.8648 alpha=90.00 beta=90.00 gamma=103.41
Positions (direct):
N 0.5014 0.0029 0.3023
W 0.5503 0.1005 0.9382
N 0.2885 0.5769 0.6380
W 0.4497 0.8995 0.4382
N 0.3268 0.6536 0.4065
Ba 0.8936 0.7873 0.1680
Ba 0.1431 0.2863 0.3252
N 0.0420 0.0840 0.0073
N 0.6676 0.3352 0.5055
N 0.3324 0.6648 0.0055
N 0.7115 0.4231 0.1380
Np 0.7959 0.5918 0.5330
Ba 0.8569 0.7137 0.8252
N 0.4986 0.9971 0.8023
N 0.9580 0.9160 0.5073
Np 0.2041 0.4082 0.0330
Ba 0.1064 0.2127 0.6680
N 0.6732 0.3464 0.9065

4.
Below is a geometry-optimized Ba3NpW2N8 structure, with properties calculated at the PBE level.

Unit cell a=6.1235 b=6.1235 c=7.7819 alpha=90.00 beta=90.00 gamma=120.00
Positions (direct):
W 0.3333 0.6667 0.2416
Ba 0.0000 0.0000 0.0000
W 0.6667 0.3333 0.7584
Ba 0.6667 0.3333 0.3233
N 0.3333 0.6667 0.0112
N 0.3294 0.1647 0.6698
N 0.8353 0.6706 0.6698
N 0.6706 0.8353 0.3302
Np 0.0000 0.0000 0.5000
N 0.6667 0.3333 0.9888
Ba 0.3333 0.6667 0.6767
N 0.1647 0.3294 0.3302
N 0.1647 0.8353 0.3302
N 0.8353 0.1647 0.6698

5.
Below is a geometry-optimized BaNpWN4 structure, with properties calculated at the PBE level.

Unit cell a=6.0566 b=6.0164 c=7.5010 alpha=90.00 beta=107.69 gamma=90.00
Positions (direct):
N 0.5120 0.2500 0.4330
Np 0.1953 0.2500 0.5419
N 0.9501 0.4901 0.6815
N 0.4565 0.7500 0.1842
W 0.7380 0.2500 0.6619
N 0.5435 0.2500 0.8158
N 0.0499 0.9901 0.3185
N 0.9501 0.0099 0.6815
W 0.2620 0.7500 0.3381
N 0.0499 0.5099 0.3185
Ba 0.2911 0.2500 0.0706
Ba 0.7089 0.7500 0.9294
Np 0.8047 0.7500 0.4581
N 0.4880 0.7500 0.5670

6.
Below is a geometry-optimized BaN2O structure, with properties calculated at the PBE level.

Unit cell a=3.7751 b=5.3304 c=7.8647 alpha=105.62 beta=70.17 gamma=135.06
Positions (direct):
N 0.9356 0.8072 0.3220
Ba 0.3511 0.8103 0.8949
O 0.3520 0.3104 0.8937
N 0.7668 0.8046 0.4696

Listing formation energy (no corrections) for the structures above in their given order: -776, -899, -801, -871, -774, -1076 meV per atom.
Listing total DFT energy (no corrections) for the structures above in their given order: -181.6, -127.2, -157.2, -123.4, -133.1, -27.8 eV/cell.
Listing N(E_F) for the structures above in their given order: 5.41, 13.13, 5.58, 1.69, 12.75, 0.83 states/eV per cell.